Sc2HgWO8: optimized geometry, GGA+U.

extended XYZ file:
```
12
Lattice="3.520 -3.323 0.000 3.520 3.323 0.000 -0.494 0.000 6.638" Properties=species:S:1:pos:R:3 pbc="T T T"
Sc -0.082 0.000 1.632
Sc 6.629 0.000 5.006
Hg 3.274 0.000 3.319
W 3.520 0.000 0.000
O 3.274 2.078 3.319
O 3.520 1.952 0.000
O 1.614 0.000 5.392
O 2.182 0.000 1.522
O 4.365 0.000 5.116
O 4.933 0.000 1.246
O 3.520 -1.952 0.000
O 3.274 -2.078 3.319
```

Properties
As for the space-group type: C2/m (12). The value obtained for the uncorrected energy is -84.37 eV per cell. The calculation puts the density of states at the Fermi level at 4.0 states/eV/f.u. The calculation puts the total magnetization at 0.0 Bohr magnetons per cell.